Entry 1:
The following is a DFT calculation (GGA-PBE) of Pm3CoPd after structural relaxation.

Unit cell a=3.814 b=6.671 c=10.487 alpha=97.80 beta=100.48 gamma=90.00
Site moments in Bohr magnetons follow the coordinates.
Fractional positions:
Co  0.762  0.912  0.524  0.45
Pd  0.575  0.510  0.151  0.00
Pm  0.812  0.362  0.625  -0.06
Pm  0.640  0.117  0.281  -0.05
Pm  0.188  0.638  0.375  -0.06
Pm  0.360  0.883  0.719  -0.05
Co  0.238  0.088  0.476  0.45
Pm  0.013  0.758  0.026  0.01
Pd  0.425  0.490  0.849  0.00
Pm  0.987  0.242  0.974  0.01

Output
Calculated total energy, eV/atom: -5.64
Space-group type: C2/m, No. 12
E above lowest polymorph, meV per atom: 14.8


Entry 2:
The following is a DFT calculation (GGA-PBE) of Be2AgRu after structural relaxation.

Unit cell a=2.968 b=3.955 c=3.955 alpha=90.00 beta=90.00 gamma=90.00
Fractional positions:
Be  0.000  0.000  0.000
Ag  0.500  0.000  0.500
Ru  0.500  0.500  0.000
Be  0.000  0.500  0.500

Output
Calculated total energy, eV/atom: -4.99
Space-group type: P4/mmm, No. 123


Entry 3:
The following is a DFT calculation (GGA-PBE) of ScHgSO2 after structural relaxation.

Unit cell a=4.179 b=4.939 c=4.179 alpha=90.00 beta=90.00 gamma=90.00
Fractional positions:
Sc  0.500  0.500  0.500
S  0.000  0.500  0.000
O  0.500  0.000  0.000
Hg  0.000  0.000  0.000
O  0.000  0.000  0.500

Output
Calculated total energy, eV/atom: -4.41
Space-group type: P4/mmm, No. 123